(1)
! K2Zr3OF12 | the Alexandria database | PBEsol | optimized geometry; values from VASP
&SYSTEM
  ibrav = 0, nat = 36, ntyp = 4
/
ATOMIC_SPECIES
F 19.00 F.upf
K 39.10 K.upf
O 16.00 O.upf
Zr 91.22 Zr.upf
ATOMIC_POSITIONS crystal
F 0.0000 0.6512 0.0000
F 0.6512 0.3488 0.0000
F 0.3488 0.0000 0.0000
F 0.0000 0.3488 0.0000
F 0.3488 0.6512 0.0000
F 0.6512 0.0000 0.0000
F 0.3461 0.9125 0.3953
F 0.9125 0.3461 0.3953
F 0.3461 0.3461 0.3953
F 0.6539 0.0875 0.6047
F 0.6539 0.6539 0.6047
F 0.0875 0.6539 0.6047
F 0.0848 0.5984 0.2320
F 0.5984 0.0848 0.2320
F 0.0848 0.0848 0.2320
F 0.9152 0.4016 0.7680
F 0.9152 0.9152 0.7680
F 0.4016 0.9152 0.7680
F 0.2965 0.6324 0.7746
F 0.6324 0.2965 0.7746
F 0.2965 0.2965 0.7746
F 0.7035 0.3676 0.2254
F 0.7035 0.7035 0.2254
F 0.3676 0.7035 0.2254
K 0.0000 0.0000 0.0000
K 0.5000 0.5000 0.5000
K 0.1377 0.1377 0.5868
K 0.8623 0.8623 0.4132
O 0.2862 0.2862 0.1414
O 0.7138 0.7138 0.8586
Zr 0.5779 0.0319 0.8123
Zr 0.0319 0.5779 0.8123
Zr 0.5779 0.5779 0.8123
Zr 0.4221 0.9681 0.1877
Zr 0.4221 0.4221 0.1877
Zr 0.9681 0.4221 0.1877
CELL_PARAMETERS angstrom
7.6723 0.0000 0.0000
3.8361 6.6444 0.0000
3.8361 2.2148 9.5495
! Calculated total energy = -246.3 eV/cell
! Formation energy (no corrections) = -349.7 kJ/mol of atoms
! Theoretical density = 4.065 g/cm³

=====

(2)
! SrCuO2 | the Alexandria database | PBEsol | optimized geometry; values from VASP
&SYSTEM
  ibrav = 0, nat = 8, ntyp = 3
/
ATOMIC_SPECIES
Sr 87.62 Sr.upf
Cu 63.55 Cu.upf
O 16.00 O.upf
ATOMIC_POSITIONS crystal
Sr 0.6675 0.2500 0.3351
Sr 0.3325 0.7500 0.6649
Cu 0.0625 0.7500 0.1251
Cu 0.9375 0.2500 0.8749
O 0.8203 0.2500 0.6406
O 0.1797 0.7500 0.3594
O 0.9454 0.7500 0.8908
O 0.0546 0.2500 0.1092
CELL_PARAMETERS angstrom
3.5692 0.0000 0.0000
0.0000 3.9035 0.0000
-1.7846 0.0000 8.0408
! Calculated total energy = -47.4 eV/cell
! Formation energy (no corrections) = -169.1 kJ/mol of atoms
! Theoretical density = 5.430 g/cm³

=====

(3)
! Al2Cr | the Alexandria database | PBEsol | optimized geometry; values from VASP
&SYSTEM
  ibrav = 0, nat = 6, ntyp = 2
/
ATOMIC_SPECIES
Cr 52.00 Cr.upf
Al 26.98 Al.upf
ATOMIC_POSITIONS crystal
Cr 0.7500 0.7973 0.0000
Cr 0.2500 0.2027 0.0000
Al 0.7500 0.1376 0.6871
Al 0.2500 0.8624 0.3129
Al 0.7500 0.4505 0.3129
Al 0.2500 0.5495 0.6871
CELL_PARAMETERS angstrom
4.3125 0.0000 0.0000
0.0000 4.3341 0.0000
0.0000 -2.1670 4.3639
! Calculated total energy = -37.0 eV/cell
! Formation energy = -0.02 eV per atom
! Theoretical density = 4.314 g/cm³

=====

(4)
! NdAsPd | the Alexandria database | PBEsol | optimized geometry; values from VASP
&SYSTEM
  ibrav = 0, nat = 12, ntyp = 3
/
ATOMIC_SPECIES
As 74.92 As.upf
Nd 144.24 Nd.upf
Pd 106.42 Pd.upf
ATOMIC_POSITIONS crystal
As 0.3333 0.6667 0.8804
As 0.6667 0.3333 0.3804
As 0.6667 0.3333 0.1196
As 0.3333 0.6667 0.6196
Nd 0.0000 0.0000 0.0000
Nd 0.0000 0.0000 0.5000
Nd 0.0000 0.0000 0.2500
Nd 0.0000 0.0000 0.7500
Pd 0.3333 0.6667 0.3685
Pd 0.6667 0.3333 0.8685
Pd 0.6667 0.3333 0.6315
Pd 0.3333 0.6667 0.1315
CELL_PARAMETERS angstrom
4.3118 0.0000 0.0000
-2.1559 3.7341 0.0000
0.0000 0.0000 15.5014
! Calculated total energy = -79.4 eV/cell
! Formation energy = -1.21 eV per atom
! Theoretical density = 8.665 g/cm³

=====

(5)
! Ca3TlRu | the Alexandria database | PBEsol | optimized geometry; values from VASP
&SYSTEM
  ibrav = 0, nat = 5, ntyp = 3
/
ATOMIC_SPECIES
Ru 101.07 Ru.upf
Tl 204.38 Tl.upf
Ca 40.08 Ca.upf
ATOMIC_POSITIONS crystal
Ru 0.0000 0.0000 0.0000
Tl 0.5000 0.5000 0.5000
Ca 0.0000 0.5000 0.0000
Ca 0.0000 0.0000 0.5000
Ca 0.5000 0.0000 0.0000
CELL_PARAMETERS angstrom
-4.5197 -1.9556 2.0825
2.3296 -0.2671 4.8052
-1.6535 4.9692 1.0778
! Calculated total energy = -18.4 eV/cell
! Formation energy = 0.16 eV per atom
! Theoretical density = 4.624 g/cm³

=====

(6)
! CsCd2FeTe | the Alexandria database | PBEsol | optimized geometry; values from VASP
&SYSTEM
  ibrav = 0, nat = 5, ntyp = 4
/
ATOMIC_SPECIES
Cs 132.91 Cs.upf
Te 127.60 Te.upf
Fe 55.84 Fe.upf
Cd 112.41 Cd.upf
ATOMIC_POSITIONS crystal
Cs 0.5000 0.5000 0.5000
Te 0.0000 0.0000 0.0000
Fe 0.5000 0.0000 0.0000
Cd 0.0000 0.0000 0.5000
Cd 0.0000 0.5000 0.0000
CELL_PARAMETERS angstrom
4.7504 0.0000 0.0000
0.0000 6.0503 0.0000
0.0000 0.0000 6.0503
! Calculated total energy = -12.9 eV/cell
! Formation energy (no corrections) = 56.4 kJ/mol of atoms
! Theoretical density = 5.168 g/cm³

=====

(7)
! AlMoAs2 | the Alexandria database | PBEsol | optimized geometry; values from VASP
&SYSTEM
  ibrav = 0, nat = 4, ntyp = 3
/
ATOMIC_SPECIES
Mo 95.94 Mo.upf
As 74.92 As.upf
Al 26.98 Al.upf
ATOMIC_POSITIONS crystal
Mo 0.5000 0.5000 0.0000
As 0.9434 0.0000 0.7706
As 0.0566 0.0000 0.2294
Al 0.5000 0.5000 0.5000
CELL_PARAMETERS angstrom
-1.7752 -0.6590 -2.5984
1.9207 -2.5163 -0.6740
-3.1126 -3.4688 4.0802
! Calculated total energy = -26.4 eV/cell
! Formation energy = -0.09 eV per atom
! Theoretical density = 7.097 g/cm³

=====

(8)
! CaZnTc2 | the Alexandria database | PBEsol | optimized geometry; values from VASP
&SYSTEM
  ibrav = 0, nat = 4, ntyp = 3
/
ATOMIC_SPECIES
Zn 65.41 Zn.upf
Ca 40.08 Ca.upf
Tc 98.00 Tc.upf
ATOMIC_POSITIONS crystal
Zn 0.5000 0.5000 0.0000
Ca 0.0000 0.5000 0.5000
Tc 0.6441 0.0000 0.7445
Tc 0.3559 0.0000 0.2555
CELL_PARAMETERS angstrom
-0.6237 2.2317 -1.3386
-3.7927 -2.2515 -1.9865
-2.8100 1.1825 4.0248
! Calculated total energy = -24.2 eV/cell
! Formation energy = 0.51 eV per atom
! Theoretical density = 7.680 g/cm³

=====

Which of these has the lowest calculated total energy? K2Zr3OF12